# K2Pm2Br7 PBE relaxed
data_K2Pm2Br7
_chemical_formula_sum 'K2 Pm2 Br7'
_symmetry_space_group_name_H-M 'P 1'
_symmetry_Int_Tables_number 1
_cell_length_a 7.506
_cell_length_b 7.660
_cell_length_c 7.660
_cell_angle_alpha 73.01
_cell_angle_beta 91.75
_cell_angle_gamma 91.75
loop_
_symmetry_equiv_pos_as_xyz
'x,y,z'
loop_
_atom_site_label
_atom_site_type_symbol
_atom_site_fract_x
_atom_site_fract_y
_atom_site_fract_z
Br1 Br 0.773 0.554 0.554
Br2 Br 0.759 0.489 0.063
Br3 Br 0.241 0.937 0.511
Br4 Br 0.000 0.000 0.000
Br5 Br 0.227 0.446 0.446
Br6 Br 0.759 0.063 0.489
Br7 Br 0.241 0.511 0.937
Pm1 Pm 0.052 0.242 0.242
Pm2 Pm 0.948 0.758 0.758
K1 K 0.500 0.242 0.758
K2 K 0.500 0.758 0.242
# Energy relative to the elements, uncorrected (meV per atom): -1673